Compound: AcTb15Y4
Source: Alexandria
Functional: PBE-GGA
Structure: relaxed

Energy (eV/f.u.): -98.87

Geometry as CIF:
```
data_AcTb15Y4
_chemical_formula_sum 'Ac1 Tb15 Y4'
_cell_length_a 5.071
_cell_length_b 5.071
_cell_length_c 25.368
_cell_angle_alpha 90.00
_cell_angle_beta 90.00
_cell_angle_gamma 90.00
_space_group_name_H-M_alt 'P 4/m m m'
_space_group_IT_number 123
_space_group_name_Hall '-P 4 2'
loop_
_atom_site_label
_atom_site_fract_x
_atom_site_fract_y
_atom_site_fract_z
Ac1 0.000 0.000 0.000
Tb1 0.000 0.500 0.105
Tb2 0.000 0.500 0.302
Tb3 0.000 0.500 0.500
Tb4 0.500 0.500 0.000
Tb5 0.500 0.500 0.204
Tb6 0.500 0.500 0.401
Y1 0.000 0.000 0.203
Y2 0.000 0.000 0.401
```

Compound: AcTb2Y7
Source: Alexandria
Functional: PBE-GGA
Structure: relaxed

Energy (eV/f.u.): -56.48

Geometry as CIF:
```
data_AcTb2Y7
_chemical_formula_sum 'Ac2 Tb4 Y14'
_cell_length_a 5.446
_cell_length_b 7.888
_cell_length_c 16.402
_cell_angle_alpha 90.00
_cell_angle_beta 90.00
_cell_angle_gamma 90.00
_space_group_name_H-M_alt 'I m m m'
_space_group_IT_number 71
_space_group_name_Hall '-I 2 2'
loop_
_atom_site_label
_atom_site_fract_x
_atom_site_fract_y
_atom_site_fract_z
Ac1 0.000 0.000 0.000
Tb1 0.000 0.000 0.211
Y1 0.000 0.000 0.500
Y2 0.000 0.294 0.361
Y3 0.000 0.500 0.160
```

What are the formation energy values for these records? In order: 3; 21 kJ/mol of atoms.